# Mn8Nb3Al GGA-PBE relaxed
data_Mn8Nb3Al
_chemical_formula_sum 'Mn8 Nb3 Al1'
_cell_length_a 4.773
_cell_length_b 4.773
_cell_length_c 7.882
_cell_angle_alpha 90.00
_cell_angle_beta 90.00
_cell_angle_gamma 120.00
_symmetry_space_group_name_H-M 'P 1'
_symmetry_Int_Tables_number 1
loop_
_symmetry_equiv_pos_as_xyz
'x,y,z'
loop_
_atom_site_label
_atom_site_type_symbol
_atom_site_fract_x
_atom_site_fract_y
_atom_site_fract_z
Mn1 Mn 0.000 0.000 0.000
Mn2 Mn 0.000 0.000 0.491
Mn3 Mn 0.171 0.342 0.738
Mn4 Mn 0.171 0.829 0.738
Mn5 Mn 0.347 0.173 0.242
Mn6 Mn 0.658 0.829 0.738
Mn7 Mn 0.827 0.173 0.242
Mn8 Mn 0.827 0.653 0.242
Nb1 Nb 0.333 0.667 0.056
Nb2 Nb 0.333 0.667 0.433
Nb3 Nb 0.667 0.333 0.911
Al1 Al 0.667 0.333 0.550
# uncorrected energy = -109.628 eV/cell
# energy relative to the elements = -0.1933 eV/atom

=====

# SrTa2NiP GGA-PBE relaxed
data_SrTa2NiP
_chemical_formula_sum 'Sr1 Ta2 Ni1 P1'
_cell_length_a 4.785
_cell_length_b 4.785
_cell_length_c 4.428
_cell_angle_alpha 90.00
_cell_angle_beta 90.00
_cell_angle_gamma 90.00
_symmetry_space_group_name_H-M 'P 1'
_symmetry_Int_Tables_number 1
loop_
_symmetry_equiv_pos_as_xyz
'x,y,z'
loop_
_atom_site_label
_atom_site_type_symbol
_atom_site_fract_x
_atom_site_fract_y
_atom_site_fract_z
Sr1 Sr 0.000 0.000 0.000
Ta1 Ta 0.000 0.500 0.500
Ta2 Ta 0.500 0.000 0.500
Ni1 Ni 0.500 0.500 0.000
P1 P 0.500 0.500 0.500
# uncorrected energy = -34.586 eV/cell
# energy relative to the elements = 0.3985 eV/atom

=====

# Cd2InSb GGA-PBE relaxed
data_Cd2InSb
_chemical_formula_sum 'Cd2 In1 Sb1'
_cell_length_a 3.363
_cell_length_b 5.528
_cell_length_c 5.854
_cell_angle_alpha 90.00
_cell_angle_beta 104.02
_cell_angle_gamma 90.00
_symmetry_space_group_name_H-M 'P 1'
_symmetry_Int_Tables_number 1
loop_
_symmetry_equiv_pos_as_xyz
'x,y,z'
loop_
_atom_site_label
_atom_site_type_symbol
_atom_site_fract_x
_atom_site_fract_y
_atom_site_fract_z
Cd1 Cd 0.000 0.000 0.000
Cd2 Cd 0.454 0.500 0.915
In1 In 0.735 0.500 0.435
Sb1 Sb 0.249 0.000 0.524
# formation energy (no corrections) = 1.58 kcal/mol of atoms
# uncorrected energy = -8.418 eV/cell

=====

# CePaPt2 GGA-PBE relaxed
data_CePaPt2
_chemical_formula_sum 'Ce3 Pa3 Pt6'
_cell_length_a 3.963
_cell_length_b 3.963
_cell_length_c 21.670
_cell_angle_alpha 90.00
_cell_angle_beta 90.00
_cell_angle_gamma 120.00
_symmetry_space_group_name_H-M 'P 1'
_symmetry_Int_Tables_number 1
loop_
_symmetry_equiv_pos_as_xyz
'x,y,z'
loop_
_atom_site_label
_atom_site_type_symbol
_atom_site_fract_x
_atom_site_fract_y
_atom_site_fract_z
Ce1 Ce 0.000 0.000 0.000
Ce2 Ce 0.333 0.667 0.667
Ce3 Ce 0.667 0.333 0.333
Pa1 Pa 0.000 0.000 0.500
Pa2 Pa 0.333 0.667 0.167
Pa3 Pa 0.667 0.333 0.833
Pt1 Pt 0.000 0.000 0.245
Pt2 Pt 0.000 0.000 0.755
Pt3 Pt 0.333 0.667 0.422
Pt4 Pt 0.333 0.667 0.911
Pt5 Pt 0.667 0.333 0.089
Pt6 Pt 0.667 0.333 0.578
# uncorrected energy = -93.998 eV/cell
# energy relative to the elements = -0.9553 eV/atom

=====

> uncorrected energy of number 2 (SrTa2NiP)?

-34.586 eV/cell

=====

Please write out number 3 again, unchanged.
# Cd2InSb GGA-PBE relaxed
data_Cd2InSb
_chemical_formula_sum 'Cd2 In1 Sb1'
_cell_length_a 3.363
_cell_length_b 5.528
_cell_length_c 5.854
_cell_angle_alpha 90.00
_cell_angle_beta 104.02
_cell_angle_gamma 90.00
_symmetry_space_group_name_H-M 'P 1'
_symmetry_Int_Tables_number 1
loop_
_symmetry_equiv_pos_as_xyz
'x,y,z'
loop_
_atom_site_label
_atom_site_type_symbol
_atom_site_fract_x
_atom_site_fract_y
_atom_site_fract_z
Cd1 Cd 0.000 0.000 0.000
Cd2 Cd 0.454 0.500 0.915
In1 In 0.735 0.500 0.435
Sb1 Sb 0.249 0.000 0.524
# formation energy (no corrections) = 1.58 kcal/mol of atoms
# uncorrected energy = -8.418 eV/cell

=====

> Number 4 is which compound?

CePaPt2